# 1
First-principles (PBE-GGA) data for a relaxed Ba2In6Ag3 crystal, as listed in Alexandria via LeMat-Bulk.

Total moment (μB/cell): 0.00
Formation energy from the elements (eV per atom): -0.273
Space group: P-62m

Cell: 4.718 8.777 8.777 Å, 120.00 90.00 90.00°
Fractional coordinates of all 11 atoms:
Ba  0.000  0.667  0.333
Ba  0.000  0.333  0.667
In  0.500  0.696  0.696
In  0.500  0.000  0.304
In  0.000  0.198  0.198
In  0.000  0.802  0.000
In  0.500  0.304  0.000
In  0.000  0.000  0.802
Ag  0.500  0.370  0.370
Ag  0.500  0.630  0.000
Ag  0.500  0.000  0.630


# 2
First-principles (PBE-GGA) data for a relaxed RbMgTl2Cl8 crystal, as listed in Alexandria via LeMat-Bulk.

Total moment (μB/cell): 0.84
Space group: P-3
Raw formation energy (meV/atom): -1127

Cell: 6.799 6.799 9.352 Å, 90.00 90.00 120.00°
Fractional coordinates of all 12 atoms:
Rb  0.000  0.000  0.000
Mg  0.000  0.000  0.500
Tl  0.667  0.333  0.282
Tl  0.333  0.667  0.718
Cl  0.333  0.667  0.988
Cl  0.279  0.314  0.340
Cl  0.686  0.965  0.340
Cl  0.667  0.333  0.012
Cl  0.314  0.035  0.660
Cl  0.721  0.686  0.660
Cl  0.965  0.279  0.660
Cl  0.035  0.721  0.340


# 3
First-principles (PBE-GGA) data for a relaxed NaMoCl3 crystal, as listed in Alexandria via LeMat-Bulk.

Total moment (μB/cell): 0.88
Space group: C2/m
Raw formation energy (meV/atom): -925
Energy above the most stable polymorph in this dataset (meV per atom): 0.0

Cell: 3.690 7.285 8.573 Å, 81.56 90.01 104.69°
Fractional coordinates of all 10 atoms:
Na  0.584  0.135  0.275
Na  0.372  0.711  0.147
Mo  0.767  0.500  0.595
Mo  0.189  0.346  0.826
Cl  0.917  0.801  0.386
Cl  0.604  0.176  0.723
Cl  0.352  0.670  0.698
Cl  0.039  0.045  0.035
Cl  0.749  0.464  0.018
Cl  0.207  0.382  0.404


no.,energy (eV/atom)
1,-2.8935
2,-2.9658
3,-4.4634